[1]
The following is a DFT calculation (PBE) of a relaxed NaInOsW crystal.

Computed properties:
calculated total energy = -6.387 eV per atom

a b c (Å): 4.580 4.580 4.580
angles (deg): 60.00 60.00 60.00
Element x y z (fractional)
In 0.500 0.500 0.500
Na 0.750 0.750 0.750
Os 0.000 0.000 0.000
W 0.250 0.250 0.250

[2]
The following is a DFT calculation (PBE) of a relaxed Ho2ScPbC crystal.

Computed properties:
calculated total energy = -6.267 eV per atom

a b c (Å): 4.880 4.880 4.593
angles (deg): 90.00 90.00 90.00
Element x y z (fractional)
C 0.500 0.500 0.500
Ho 0.500 0.000 0.500
Ho 0.000 0.500 0.500
Pb 0.000 0.000 0.000
Sc 0.500 0.500 0.000